Record 1
Pr6Sm2Ho3Tl | Alexandria | PBE | optimized geometry; raw total energy = -4.537 eV/atom; calculated formation energy = -19 meV per atom; space-group type = C2/m (12)
1.0
6.261 -0.008 0.005
-3.136 5.419 0.005
-1.059 -1.834 11.749
Pr Sm Ho Tl
6 2 3 1
direct
0.084 0.411 0.251 Pr
0.916 0.589 0.749 Pr
0.757 0.757 0.252 Pr
0.243 0.243 0.748 Pr
0.411 0.084 0.251 Pr
0.589 0.916 0.749 Pr
0.334 0.666 0.000 Sm
0.666 0.334 0.000 Sm
0.833 0.167 0.500 Ho
0.167 0.833 0.500 Ho
0.500 0.500 0.500 Ho
0.000 0.000 0.000 Tl



Record 2
Pr3Sm6Ho2Tl | Alexandria | PBE | optimized geometry; raw total energy = -4.522 eV/atom; calculated formation energy = -7 meV per atom; space-group type = C2/m (12)
1.0
6.267 -0.011 -0.002
-3.141 5.423 -0.002
-1.063 -1.840 11.647
Sm Ho Pr Tl
6 2 3 1
direct
0.921 0.594 0.758 Sm
0.594 0.921 0.758 Sm
0.406 0.079 0.242 Sm
0.753 0.753 0.244 Sm
0.247 0.247 0.756 Sm
0.079 0.406 0.242 Sm
0.334 0.666 0.000 Ho
0.666 0.334 0.000 Ho
0.500 0.500 0.500 Pr
0.169 0.831 0.500 Pr
0.831 0.169 0.500 Pr
0.000 0.000 0.000 Tl



Record 3
Pr2Sm6Ho3Tl | Alexandria | PBE | optimized geometry; raw total energy = -4.527 eV/atom; calculated formation energy = -30 meV per atom; space-group type = C2/m (12)
1.0
6.189 -0.005 -0.001
-3.097 5.358 -0.001
-1.035 -1.793 11.705
Sm Ho Pr Tl
6 3 2 1
direct
0.084 0.411 0.252 Sm
0.242 0.242 0.747 Sm
0.589 0.916 0.748 Sm
0.411 0.084 0.252 Sm
0.758 0.758 0.253 Sm
0.916 0.589 0.748 Sm
0.500 0.500 0.500 Ho
0.167 0.833 0.500 Ho
0.833 0.167 0.500 Ho
0.666 0.334 0.000 Pr
0.334 0.666 0.000 Pr
0.000 0.000 0.000 Tl



Record 4
PrSm6Ho2Tm | Alexandria | PBE | optimized geometry; raw total energy = -4.555 eV/atom; calculated formation energy = 117 meV per atom; space-group type = C2/c (15)
1.0
-2.686 -1.148 -9.126
-8.160 -1.603 3.154
2.315 8.504 -1.200
Sm Pr Tm Ho
12 2 2 4
direct
0.617 0.487 0.708 Sm
0.185 0.562 0.009 Sm
0.117 0.708 0.487 Sm
0.883 0.292 0.513 Sm
0.555 0.758 0.120 Sm
0.685 0.009 0.562 Sm
0.383 0.513 0.292 Sm
0.815 0.438 0.991 Sm
0.315 0.991 0.438 Sm
0.945 0.880 0.242 Sm
0.445 0.242 0.880 Sm
0.055 0.120 0.758 Sm
0.750 0.028 0.972 Pr
0.250 0.972 0.028 Pr
0.750 0.589 0.411 Tm
0.250 0.411 0.589 Tm
0.952 0.695 0.797 Ho
0.452 0.797 0.695 Ho
0.048 0.305 0.203 Ho
0.548 0.203 0.305 Ho



Record 5
Pr2SmHo4Tm | Alexandria | PBE | optimized geometry; raw total energy = -4.217 eV/atom; calculated formation energy = 416 meV per atom; space-group type = C2/c (15)
1.0
9.362 -0.002 -1.738
-0.009 9.362 -1.738
-5.981 -5.986 8.323
Sm Tm Pr Ho
2 2 4 8
direct
0.000 0.500 0.500 Sm
0.000 0.500 0.000 Sm
0.500 0.500 0.500 Tm
0.000 0.000 0.000 Tm
0.000 0.000 0.500 Pr
0.500 0.500 0.000 Pr
0.500 0.000 0.000 Pr
0.500 0.000 0.500 Pr
0.743 0.257 0.501 Ho
0.250 0.250 0.494 Ho
0.750 0.750 0.994 Ho
0.757 0.243 0.001 Ho
0.243 0.757 0.999 Ho
0.750 0.750 0.506 Ho
0.250 0.250 0.006 Ho
0.257 0.743 0.499 Ho



Record 6
Pr5SmHoTm2 | Alexandria | PBE | optimized geometry; raw total energy = -4.537 eV/atom; calculated formation energy = 145 meV per atom; space-group type = Cmc2_1 (36)
1.0
-4.433 3.502 -0.323
-3.016 -7.778 6.641
3.849 5.643 8.357
Pr Ho Sm Tm
10 2 2 4
direct
0.015 0.030 0.018 Pr
0.985 0.970 0.518 Pr
0.483 0.966 0.744 Pr
0.704 0.409 0.204 Pr
0.517 0.034 0.244 Pr
0.720 0.439 0.811 Pr
0.614 0.228 0.523 Pr
0.280 0.561 0.311 Pr
0.386 0.772 0.023 Pr
0.296 0.591 0.704 Pr
0.592 0.183 0.963 Ho
0.408 0.817 0.463 Ho
0.800 0.601 0.510 Sm
0.200 0.399 0.010 Sm
0.115 0.230 0.308 Tm
0.885 0.770 0.808 Tm
0.111 0.222 0.741 Tm
0.889 0.778 0.241 Tm



Record 7
PrSm4HoTm2 | Alexandria | PBE | optimized geometry; raw total energy = -4.633 eV/atom; calculated formation energy = 15 meV per atom; space-group type = C2/m (12)
1.0
-3.526 4.276 -4.570
-10.812 -4.084 4.527
10.817 5.556 2.505
Tm Sm Pr Ho
4 8 2 2
direct
0.000 0.000 0.500 Tm
0.500 0.000 0.000 Tm
0.500 0.500 0.000 Tm
0.500 0.000 0.500 Tm
0.250 0.248 0.500 Sm
0.251 0.250 0.001 Sm
0.748 0.248 0.498 Sm
0.749 0.750 0.999 Sm
0.251 0.752 0.502 Sm
0.749 0.250 0.999 Sm
0.750 0.752 0.500 Sm
0.251 0.750 0.001 Sm
0.000 0.500 0.500 Pr
0.000 0.500 0.000 Pr
0.500 0.500 0.500 Ho
0.000 0.000 0.000 Ho



Record 8
PrSmHoTm | Alexandria | PBE | optimized geometry; energy above the most stable polymorph in this dataset = 3.5 meV/atom; raw total energy = -4.526 eV/atom; calculated formation energy = 111 meV per atom; space-group type = Cm (8)
1.0
3.726 0.000 0.610
0.000 5.873 0.000
0.955 -2.937 6.182
Ho Pr Tm Sm
1 1 1 1
direct
0.186 0.884 0.767 Ho
0.685 0.401 0.801 Pr
0.907 0.648 0.296 Tm
0.409 0.132 0.265 Sm



Record 9
Pr2SmHoTm | Alexandria | PBE | optimized geometry; raw total energy = -4.265 eV/atom; calculated formation energy = 401 meV per atom; space-group type = Cmcm (63)
1.0
-6.227 0.893 -3.758
1.526 -7.196 -4.239
-3.635 0.604 6.167
Tm Pr Ho Sm
2 4 2 2
direct
0.250 0.991 0.983 Tm
0.750 0.009 0.017 Tm
0.000 0.695 0.000 Pr
0.000 0.305 0.000 Pr
0.500 0.695 0.000 Pr
0.500 0.305 0.000 Pr
0.250 0.266 0.532 Ho
0.750 0.734 0.468 Ho
0.250 0.725 0.449 Sm
0.750 0.275 0.551 Sm



Record 10
PrSm3Ho2Tm6 | Alexandria | PBE | optimized geometry; raw total energy = -4.556 eV/atom; calculated formation energy = 21 meV per atom; space-group type = C2/m (12)
1.0
-1.404 -1.938 5.665
3.366 -3.558 -3.719
8.965 6.692 3.402
Tm Ho Sm Pr
6 2 3 1
direct
0.750 0.750 0.249 Tm
0.582 0.916 0.751 Tm
0.250 0.250 0.751 Tm
0.916 0.582 0.751 Tm
0.084 0.418 0.249 Tm
0.418 0.084 0.249 Tm
0.667 0.333 0.000 Ho
0.333 0.667 0.000 Ho
0.833 0.167 0.500 Sm
0.167 0.833 0.500 Sm
0.500 0.500 0.500 Sm
0.000 0.000 0.000 Pr



Record 11
Pr2Sm6Ho3Tm | Alexandria | PBE | optimized geometry; raw total energy = -4.656 eV/atom; calculated formation energy = 17 meV per atom; space-group type = C2/m (12)
1.0
-2.524 -5.211 2.339
3.517 3.667 3.631
-9.904 6.568 1.170
Ho Sm Pr Tm
3 6 2 1
direct
0.500 0.500 0.500 Ho
0.166 0.834 0.500 Ho
0.834 0.166 0.500 Ho
0.416 0.084 0.253 Sm
0.247 0.247 0.746 Sm
0.916 0.584 0.747 Sm
0.584 0.916 0.747 Sm
0.753 0.753 0.254 Sm
0.084 0.416 0.253 Sm
0.667 0.333 0.000 Pr
0.333 0.667 0.000 Pr
0.000 0.000 0.000 Tm



Record 12
Pr6SmHo2Tm | Alexandria | PBE | optimized geometry; raw total energy = -4.588 eV/atom; calculated formation energy = 115 meV per atom; space-group type = C2/c (15)
1.0
-4.710 -7.505 -3.927
1.146 -4.112 7.932
-7.022 5.585 -0.804
Pr Tm Ho Sm
12 2 4 2
direct
0.617 0.488 0.706 Pr
0.689 0.005 0.563 Pr
0.883 0.294 0.512 Pr
0.946 0.884 0.238 Pr
0.311 0.995 0.437 Pr
0.383 0.512 0.294 Pr
0.054 0.116 0.762 Pr
0.117 0.706 0.488 Pr
0.554 0.762 0.116 Pr
0.811 0.437 0.995 Pr
0.189 0.563 0.005 Pr
0.446 0.238 0.884 Pr
0.250 0.413 0.587 Tm
0.750 0.587 0.413 Tm
0.047 0.299 0.202 Ho
0.953 0.701 0.798 Ho
0.453 0.798 0.701 Ho
0.547 0.202 0.299 Ho
0.750 0.027 0.973 Sm
0.250 0.973 0.027 Sm



Record 13
PrSmHo2Tm5 | Alexandria | PBE | optimized geometry; raw total energy = -4.274 eV/atom; calculated formation energy = 283 meV per atom; space-group type = I4/mcm (140)
1.0
8.864 0.000 0.000
0.000 8.864 0.000
-4.432 -4.432 7.323
Pr Tm Sm Ho
2 10 2 4
direct
0.750 0.750 0.500 Pr
0.250 0.250 0.500 Pr
0.573 0.665 0.738 Tm
0.835 0.927 0.262 Tm
0.335 0.835 0.262 Tm
0.000 0.000 0.000 Tm
0.500 0.500 0.000 Tm
0.927 0.427 0.262 Tm
0.427 0.335 0.262 Tm
0.665 0.165 0.738 Tm
0.073 0.573 0.738 Tm
0.165 0.073 0.738 Tm
0.250 0.750 0.500 Sm
0.750 0.250 0.500 Sm
0.113 0.387 0.000 Ho
0.613 0.113 0.000 Ho
0.887 0.613 0.000 Ho
0.387 0.887 0.000 Ho



Record 14
Pr2Sm2Ho4Tm | Alexandria | PBE | optimized geometry; raw total energy = -4.637 eV/atom; calculated formation energy = 5 meV per atom; space-group type = C2/m (12)
1.0
3.617 0.000 0.000
-1.809 9.372 -0.498
0.000 -3.710 8.877
Ho Pr Sm Tm
4 2 2 1
direct
0.481 0.961 0.668 Ho
0.815 0.631 0.664 Ho
0.185 0.369 0.336 Ho
0.519 0.039 0.332 Ho
0.335 0.671 0.999 Pr
0.665 0.329 0.001 Pr
0.853 0.706 0.338 Sm
0.147 0.294 0.662 Sm
0.000 0.000 0.000 Tm



Record 15
PrSm5Ho2Tm | Alexandria | PBE | optimized geometry; raw total energy = -4.519 eV/atom; calculated formation energy = 148 meV per atom; space-group type = Cmc2_1 (36)
1.0
5.630 0.000 0.000
-2.815 10.104 0.000
0.000 0.000 10.740
Sm Pr Ho Tm
10 2 4 2
direct
0.017 0.034 0.024 Sm
0.282 0.564 0.306 Sm
0.718 0.436 0.806 Sm
0.607 0.213 0.525 Sm
0.298 0.596 0.704 Sm
0.521 0.041 0.241 Sm
0.479 0.959 0.741 Sm
0.702 0.404 0.204 Sm
0.393 0.787 0.025 Sm
0.983 0.966 0.524 Sm
0.203 0.405 0.009 Pr
0.797 0.595 0.509 Pr
0.116 0.232 0.318 Ho
0.891 0.782 0.238 Ho
0.884 0.768 0.818 Ho
0.109 0.218 0.738 Ho
0.589 0.177 0.959 Tm
0.411 0.823 0.459 Tm



Record 16
PrSmHoTm | Alexandria | PBE | optimized geometry; energy above the most stable polymorph in this dataset = 0.0 meV/atom; raw total energy = -4.530 eV/atom; calculated formation energy = 107 meV per atom; space-group type = F-43m (216)
1.0
-2.719 3.443 -3.664
-2.696 -2.207 -4.532
-5.713 0.009 -0.211
Tm Pr Ho Sm
1 1 1 1
direct
0.500 0.500 0.500 Tm
0.750 0.750 0.750 Pr
0.000 0.000 0.000 Ho
0.250 0.250 0.250 Sm



Record 17
PrSmHoTm3 | Alexandria | PBE | optimized geometry; raw total energy = -4.468 eV/atom; calculated formation energy = 114 meV per atom; space-group type = Cmcm (63)
1.0
-1.409 5.385 -1.711
-3.982 -4.701 -1.607
-5.904 1.608 9.924
Sm Tm Ho Pr
2 6 2 2
direct
0.503 0.006 0.750 Sm
0.497 0.994 0.250 Sm
0.328 0.656 0.997 Tm
0.172 0.344 0.750 Tm
0.828 0.656 0.250 Tm
0.672 0.344 0.003 Tm
0.672 0.344 0.497 Tm
0.328 0.656 0.503 Tm
0.825 0.649 0.750 Ho
0.175 0.351 0.250 Ho
0.000 0.000 0.000 Pr
0.000 0.000 0.500 Pr



Record 18
Pr3Sm6HoTm2 | Alexandria | PBE | optimized geometry; raw total energy = -4.661 eV/atom; calculated formation energy = 21 meV per atom; space-group type = C2/m (12)
1.0
6.274 -0.001 0.007
-3.137 5.434 0.007
-1.059 -1.833 11.787
Sm Tm Pr Ho
6 2 3 1
direct
0.918 0.585 0.756 Sm
0.252 0.252 0.756 Sm
0.082 0.415 0.244 Sm
0.748 0.748 0.244 Sm
0.415 0.082 0.244 Sm
0.585 0.918 0.756 Sm
0.667 0.333 0.000 Tm
0.333 0.667 0.000 Tm
0.500 0.500 0.500 Pr
0.167 0.833 0.500 Pr
0.833 0.167 0.500 Pr
0.000 0.000 0.000 Ho



Record 19
Pr4Sm2HoTm | Alexandria | PBE | optimized geometry; raw total energy = -4.685 eV/atom; calculated formation energy = 15 meV per atom; space-group type = P2/m (10)
1.0
5.192 0.000 0.000
0.000 5.050 1.075
0.000 2.943 11.027
Pr Sm Ho Tm
4 2 1 1
direct
0.000 0.248 0.251 Pr
0.000 0.752 0.749 Pr
0.500 0.750 0.250 Pr
0.500 0.250 0.750 Pr
0.500 0.000 0.500 Sm
0.000 0.000 0.000 Sm
0.500 0.500 0.000 Ho
0.000 0.500 0.500 Tm